Material: SrHgS2
Method: DFT, GGA-PBE
State: relaxed

The structure in CIF format:
```
data_SrHgS2
_chemical_formula_sum 'Sr2 Hg2 S4'
_space_group_name_H-M_alt 'P 1'
_space_group_IT_number 1
_space_group_name_Hall 'P 1'
_cell_length_a 4.276
_cell_length_b 6.940
_cell_length_c 7.787
_cell_angle_alpha 99.03
_cell_angle_beta 104.82
_cell_angle_gamma 90.19
loop_
_atom_site_label
_atom_site_type_symbol
_atom_site_fract_x
_atom_site_fract_y
_atom_site_fract_z
Sr1 Sr 0.000 0.000 0.000
Sr2 Sr 0.241 0.415 0.504
Hg1 Hg 0.510 0.503 0.016
Hg2 Hg 0.706 0.936 0.473
S1 S 0.141 0.779 0.322
S2 S 0.415 0.739 0.821
S3 S 0.600 0.266 0.212
S4 S 0.836 0.236 0.703
```

Formation energy (no corrections) (eV per atom): -1.1234
Crystal system: triclinic
Theoretical density (g/cm3): 5.3
Fermi-level density of states (states/eV/f.u.): 0.00